# Cd12CuAu7

A geometry-optimized Cd12CuAu7 structure (PBE, the Alexandria database).

a = 7.8221 Å, b = 7.8221 Å, c = 7.8221 Å
α = 105.63°, β = 105.63°, γ = 105.63°
Atoms (fractional coordinates):
Cd: 0.0347 0.3971 0.2900
Cd: 0.2191 0.3630 0.6598
Cd: 0.2900 0.0347 0.3971
Cd: 0.3402 0.7809 0.6370
Cd: 0.3630 0.6598 0.2191
Cd: 0.3971 0.2900 0.0347
Cd: 0.6029 0.7100 0.9653
Cd: 0.6370 0.3402 0.7809
Cd: 0.6598 0.2191 0.3630
Cd: 0.7100 0.9653 0.6029
Cd: 0.7809 0.6370 0.3402
Cd: 0.9653 0.6029 0.7100
Cu: 0.0000 0.0000 0.0000
Au: 0.0185 0.3178 0.9069
Au: 0.0931 0.9815 0.6822
Au: 0.3178 0.9069 0.0185
Au: 0.5000 0.5000 0.5000
Au: 0.6822 0.0931 0.9815
Au: 0.9069 0.0185 0.3178
Au: 0.9815 0.6822 0.0931


# KBi8Pt2

A geometry-optimized KBi8Pt2 structure (PBE, the Alexandria database).

a = 8.2535 Å, b = 8.2535 Å, c = 5.4314 Å
α = 97.41°, β = 97.41°, γ = 111.91°
Atoms (fractional coordinates):
K: 0.0000 0.0000 0.0000
Bi: 0.0550 0.3527 0.6058
Bi: 0.2568 0.7432 0.0000
Bi: 0.3527 0.0550 0.6058
Bi: 0.3915 0.3915 0.1987
Bi: 0.6085 0.6085 0.8013
Bi: 0.6473 0.9450 0.3942
Bi: 0.7432 0.2568 0.0000
Bi: 0.9450 0.6473 0.3942
Pt: 0.3318 0.6682 0.5000
Pt: 0.6682 0.3318 0.5000


# ScPb

A geometry-optimized ScPb structure (PBE, the Alexandria database).

a = 9.0855 Å, b = 9.0855 Å, c = 9.0855 Å
α = 90.00°, β = 90.00°, γ = 90.00°
Atoms (fractional coordinates):
Sc: 0.1259 0.1259 0.1259
Sc: 0.1259 0.8741 0.8741
Sc: 0.3741 0.3741 0.6259
Sc: 0.3741 0.6259 0.3741
Sc: 0.6259 0.3741 0.3741
Sc: 0.6259 0.6259 0.6259
Sc: 0.8741 0.1259 0.8741
Sc: 0.8741 0.8741 0.1259
Pb: 0.1914 0.1914 0.8086
Pb: 0.1914 0.8086 0.1914
Pb: 0.3086 0.3086 0.3086
Pb: 0.3086 0.6914 0.6914
Pb: 0.6914 0.3086 0.6914
Pb: 0.6914 0.6914 0.3086
Pb: 0.8086 0.1914 0.1914
Pb: 0.8086 0.8086 0.8086


# TbHo5Er6

A geometry-optimized TbHo5Er6 structure (PBE, the Alexandria database).

a = 6.0760 Å, b = 6.0760 Å, c = 11.6275 Å
α = 94.99°, β = 94.99°, γ = 119.95°
Atoms (fractional coordinates):
Tb: 0.0000 0.0000 0.0000
Ho: 0.1667 0.8333 0.5000
Ho: 0.3333 0.6667 0.0000
Ho: 0.5000 0.5000 0.5000
Ho: 0.6667 0.3333 0.0000
Ho: 0.8333 0.1667 0.5000
Er: 0.0830 0.4165 0.2503
Er: 0.2505 0.2505 0.7498
Er: 0.4165 0.0830 0.2503
Er: 0.5835 0.9170 0.7497
Er: 0.7495 0.7495 0.2502
Er: 0.9170 0.5835 0.7497


no.,formation energy from the elements (eV per atom)
1,-0.10
2,-0.12
3,0.45
4,0.02